# Ho2ZnSi2Ni5 (PBE-GGA, optimized geometry)
data_Ho2ZnSi2Ni5
_cell_length_a 9.547
_cell_length_b 9.547
_cell_length_c 3.275
_cell_angle_alpha 90.00
_cell_angle_beta 90.00
_cell_angle_gamma 90.00
_space_group_name_H-M_alt 'P 4/m b m'
_space_group_IT_number 127
_space_group_name_Hall '-P 4 2ab'
loop_
_atom_site_label
_atom_site_type_symbol
_atom_site_fract_x
_atom_site_fract_y
_atom_site_fract_z
Ho1 Ho 0.179 0.321 0.000
Zn1 Zn 0.000 0.000 0.000
Si1 Si 0.119 0.619 0.000
Ni1 Ni 0.000 0.500 0.500
Ni2 Ni 0.059 0.785 0.500
# Crystal system: tetragonal
# Formation energy without anion corrections in eV per formula unit: -4.452
# M_tot in Bohr magnetons per cell: 0.00

# Pr2OsPb (PBE-GGA, optimized geometry)
data_Pr2OsPb
_cell_length_a 3.506
_cell_length_b 3.506
_cell_length_c 8.876
_cell_angle_alpha 90.00
_cell_angle_beta 90.00
_cell_angle_gamma 90.00
_space_group_name_H-M_alt 'P 4/m m m'
_space_group_IT_number 123
_space_group_name_Hall '-P 4 2'
loop_
_atom_site_label
_atom_site_type_symbol
_atom_site_fract_x
_atom_site_fract_y
_atom_site_fract_z
Pr1 Pr 0.000 0.000 0.198
Os1 Os 0.500 0.500 0.000
Pb1 Pb 0.500 0.500 0.500
# Formation energy in eV per atom: -0.198
# Crystal system: tetragonal
# Distance to the lowest polymorph of the same formula in eV per atom: 0.000
# M_tot in Bohr magnetons per cell: 0.00

# Pm2SmIr (PBE-GGA, optimized geometry)
data_Pm2SmIr
_cell_length_a 6.896
_cell_length_b 6.456
_cell_length_c 11.700
_cell_angle_alpha 90.00
_cell_angle_beta 90.00
_cell_angle_gamma 90.00
_space_group_name_H-M_alt 'P n n a'
_space_group_IT_number 52
_space_group_name_Hall '-P 2a 2bc'
loop_
_atom_site_label
_atom_site_type_symbol
_atom_site_fract_x
_atom_site_fract_y
_atom_site_fract_z
Pm1 Pm 0.087 0.249 0.084
Sm1 Sm 0.065 0.250 0.750
Ir1 Ir 0.250 0.000 0.911
# Formation energy in eV per atom: -0.384
# Crystal system: orthorhombic
# Distance to the lowest polymorph of the same formula in eV per atom: 0.094
# M_tot in Bohr magnetons per cell: 0.00

# LiMgRh2 (PBE-GGA, optimized geometry)
data_LiMgRh2
_cell_length_a 2.776
_cell_length_b 3.904
_cell_length_c 5.360
_cell_angle_alpha 90.00
_cell_angle_beta 90.00
_cell_angle_gamma 90.00
_space_group_name_H-M_alt 'P m m m'
_space_group_IT_number 47
_space_group_name_Hall '-P 2 2'
loop_
_atom_site_label
_atom_site_type_symbol
_atom_site_fract_x
_atom_site_fract_y
_atom_site_fract_z
Li1 Li 0.000 0.000 0.000
Mg1 Mg 0.000 0.000 0.500
Rh1 Rh 0.500 0.500 0.243
# Formation energy in eV per atom: -0.170
# Crystal system: orthorhombic
# M_tot in Bohr magnetons per cell: 0.00

# Ce8AlPd24 (PBE-GGA, optimized geometry)
data_Ce8AlPd24
_cell_length_a 8.446
_cell_length_b 8.446
_cell_length_c 8.446
_cell_angle_alpha 90.00
_cell_angle_beta 90.00
_cell_angle_gamma 90.00
_space_group_name_H-M_alt 'P m -3 m'
_space_group_IT_number 221
_space_group_name_Hall '-P 4 2 3'
loop_
_atom_site_label
_atom_site_type_symbol
_atom_site_fract_x
_atom_site_fract_y
_atom_site_fract_z
Ce1 Ce 0.250 0.250 0.250
Al1 Al 0.000 0.000 0.000
Pd1 Pd 0.000 0.000 0.293
Pd2 Pd 0.000 0.261 0.500
Pd3 Pd 0.254 0.500 0.500
# Formation energy in eV per atom: -0.805
# Crystal system: cubic
# M_tot in Bohr magnetons per cell: 6.07

# KSn3Cl7 (PBE-GGA, optimized geometry)
data_KSn3Cl7
_cell_length_a 9.416
_cell_length_b 10.471
_cell_length_c 7.387
_cell_angle_alpha 90.00
_cell_angle_beta 113.00
_cell_angle_gamma 90.00
_space_group_name_H-M_alt 'C 1 2/m 1'
_space_group_IT_number 12
_space_group_name_Hall '-C 2y'
loop_
_atom_site_label
_atom_site_type_symbol
_atom_site_fract_x
_atom_site_fract_y
_atom_site_fract_z
K1 K 0.000 0.000 0.000
Sn1 Sn 0.000 0.269 0.500
Sn2 Sn 0.000 0.500 0.000
Cl1 Cl 0.000 0.000 0.500
Cl2 Cl 0.149 0.500 0.735
Cl3 Cl 0.164 0.288 0.237
# Crystal system: monoclinic
# Formation energy without anion corrections in eV per formula unit: -12.588
# M_tot in Bohr magnetons per cell: 0.00